[1]
# PBEsol Ba2CdCoRu, relaxed
data_Ba2CdCoRu
_cell_length_a 5.5739
_cell_length_b 5.5739
_cell_length_c 5.1490
_cell_angle_alpha 90.00
_cell_angle_beta 90.00
_cell_angle_gamma 90.00
_symmetry_space_group_name_H-M 'P 1'
_symmetry_Int_Tables_number 1
loop_
_symmetry_equiv_pos_as_xyz
'x,y,z'
loop_
_atom_site_label
_atom_site_type_symbol
_atom_site_fract_x
_atom_site_fract_y
_atom_site_fract_z
_atom_site_occupancy
Ba1 Ba 0.0000 0.5000 0.0000 1
Ba2 Ba 0.5000 0.0000 0.0000 1
Cd1 Cd 0.0000 0.0000 0.5000 1
Co1 Co 0.5000 0.5000 0.5000 1
Ru1 Ru 0.0000 0.0000 0.0000 1
# SG = P4/mmm
# M_tot = 1.8 μB per cell
# Calculated total energy = -3.838 eV/atom
# Crystal system = tetragonal
# Formation energy = 0.842 eV/atom

---

[2]
# PBEsol Li3ZnAu, relaxed
data_Li3ZnAu
_cell_length_a 4.7532
_cell_length_b 4.7532
_cell_length_c 4.7532
_cell_angle_alpha 90.00
_cell_angle_beta 90.00
_cell_angle_gamma 90.00
_symmetry_space_group_name_H-M 'P 1'
_symmetry_Int_Tables_number 1
loop_
_symmetry_equiv_pos_as_xyz
'x,y,z'
loop_
_atom_site_label
_atom_site_type_symbol
_atom_site_fract_x
_atom_site_fract_y
_atom_site_fract_z
_atom_site_occupancy
Li1 Li 0.0000 0.0000 0.5000 1
Li2 Li 0.0000 0.5000 0.0000 1
Li3 Li 0.5000 0.0000 0.0000 1
Zn1 Zn 0.5000 0.5000 0.5000 1
Au1 Au 0.0000 0.0000 0.0000 1
# SG = Pm-3m
# M_tot = 0.0 μB per cell
# Calculated total energy = -2.203 eV/atom
# Crystal system = cubic
# Formation energy = 0.078 eV/atom

---

[3]
# PBEsol Tl2SbW, relaxed
data_Tl2SbW
_cell_length_a 3.1146
_cell_length_b 5.4265
_cell_length_c 5.4640
_cell_angle_alpha 90.00
_cell_angle_beta 98.78
_cell_angle_gamma 90.00
_symmetry_space_group_name_H-M 'P 1'
_symmetry_Int_Tables_number 1
loop_
_symmetry_equiv_pos_as_xyz
'x,y,z'
loop_
_atom_site_label
_atom_site_type_symbol
_atom_site_fract_x
_atom_site_fract_y
_atom_site_fract_z
_atom_site_occupancy
Tl1 Tl 0.2075 0.0000 0.2601 1
Tl2 Tl 0.7925 0.0000 0.7399 1
Sb1 Sb 0.5000 0.5000 0.0000 1
W1 W 0.5000 0.5000 0.5000 1
# SG = P2/m
# M_tot = 0.0 μB per cell
# Energy relative to the elements, uncorrected = 0.87 eV/atom
# Calculated total energy = -5.033 eV/atom
# Crystal system = monoclinic
# Energy above the lowest structure with this stoichiometry = 0.000 eV/atom

---

[4]
# PBEsol NaSr2Te2, relaxed
data_NaSr2Te2
_cell_length_a 7.4270
_cell_length_b 7.4270
_cell_length_c 7.4270
_cell_angle_alpha 131.26
_cell_angle_beta 131.26
_cell_angle_gamma 71.40
_symmetry_space_group_name_H-M 'P 1'
_symmetry_Int_Tables_number 1
loop_
_symmetry_equiv_pos_as_xyz
'x,y,z'
loop_
_atom_site_label
_atom_site_type_symbol
_atom_site_fract_x
_atom_site_fract_y
_atom_site_fract_z
_atom_site_occupancy
Na1 Na 0.0000 0.0000 0.0000 1
Sr1 Sr 0.3211 0.3211 0.0000 1
Sr2 Sr 0.6789 0.6789 0.0000 1
Te1 Te 0.2500 0.7500 0.5000 1
Te2 Te 0.7500 0.2500 0.5000 1
# SG = I4/mmm
# M_tot = 0.4 μB per cell
# Energy relative to the elements, uncorrected = -0.93 eV/atom
# Calculated total energy = -3.357 eV/atom
# Crystal system = tetragonal